An optimized crystal structure of CsK2AsAu. Source: Alexandria, functional PBE.

Cell lengths 6.401, 6.401, 5.092 Å; angles 90.00, 90.00, 90.00 degrees
Atoms (fractional coordinates):
Cs 0.000 0.000 0.000
K 0.000 0.500 0.500
K 0.500 0.000 0.500
As 0.500 0.500 0.000
Au 0.500 0.500 0.500

## Properties
**ΔH_f (0 K)**: -0.832 eV per formula unit
**DOS at the Fermi energy**: 1.325 states/eV per cell
**Excess energy over the best structure of this formula in the dataset**: 6 meV/atom
**Calculated volume**: 208.6 Å³/cell
**SG**: P4/mmm, No. 123
**Total DFT energy (no corrections)**: -2.362 eV/atom